Entry 1:
Y3PaRu3 | GGA-PBE | optimized geometry

Computed properties:
Space group = C2/m (12)
Energy of formation = -0.39 eV/atom
DOS at the Fermi energy = 5.1 states/eV/f.u.
Volume = 323 Å³/cell

Cell: 7.0402 7.0402 6.6050 Å, 94.71 94.71 82.52°
Atoms (fractional coordinates):
1 Y 0.1868 0.8132 0.0000
2 Y 0.2955 0.7045 0.5000
3 Y 0.3130 0.3130 0.9613
4 Y 0.6870 0.6870 0.0387
5 Y 0.7045 0.2955 0.5000
6 Y 0.8132 0.1868 0.0000
7 Pa 0.2071 0.2071 0.4140
8 Pa 0.7929 0.7929 0.5860
9 Ru 0.0131 0.4913 0.2679
10 Ru 0.0698 0.0698 0.6946
11 Ru 0.4913 0.0131 0.2679
12 Ru 0.5087 0.9869 0.7321
13 Ru 0.9302 0.9302 0.3054
14 Ru 0.9869 0.5087 0.7321


Entry 2:
RbMn2CuI8 | GGA-PBE | optimized geometry

Computed properties:
Space group = P-3 (147)
Formation energy without anion corrections = -0.45 eV/atom
DOS at the Fermi energy = 6.3 states/eV/f.u.
Volume = 471 Å³/cell

Cell: 7.3075 7.3075 10.1760 Å, 90.00 90.00 120.00°
Atoms (fractional coordinates):
1 Rb 0.0000 0.0000 0.0000
2 Mn 0.3333 0.6667 0.7361
3 Mn 0.6667 0.3333 0.2639
4 Cu 0.0000 0.0000 0.5000
5 I 0.0011 0.6904 0.3353
6 I 0.3096 0.3107 0.3353
7 I 0.3107 0.0011 0.6647
8 I 0.3333 0.6667 0.9915
9 I 0.6667 0.3333 0.0085
10 I 0.6893 0.9989 0.3353
11 I 0.6904 0.6893 0.6647
12 I 0.9989 0.3096 0.6647


Entry 3:
BeTeOsN2 | GGA-PBE | optimized geometry

Computed properties:
Space group = P4/mmm (123)
Formation energy without anion corrections = 1.80 eV/atom
DOS at the Fermi energy = 2.9 states/eV/f.u.
Volume = 71 Å³/cell

Cell: 3.6348 3.6348 5.3427 Å, 90.00 90.00 90.00°
Atoms (fractional coordinates):
1 Be 0.0000 0.0000 0.0000
2 Te 0.0000 0.0000 0.5000
3 Os 0.5000 0.5000 0.5000
4 N 0.0000 0.5000 0.0000
5 N 0.5000 0.0000 0.0000


Entry 4:
In4Ga2Hg3 | GGA-PBE | optimized geometry

Computed properties:
Space group = C2/m (12)
Energy of formation = 0.05 eV/atom
DOS at the Fermi energy = 3.4 states/eV/f.u.
Volume = 231 Å³/cell

Cell: 4.6655 4.6655 15.3695 Å, 101.56 101.56 45.03°
Atoms (fractional coordinates):
1 In 0.0008 0.0008 0.1777
2 In 0.3340 0.3340 0.6171
3 In 0.6660 0.6660 0.3829
4 In 0.9992 0.9992 0.8223
5 Ga 0.3345 0.3345 0.2817
6 Ga 0.6655 0.6655 0.7183
7 Hg 0.0000 0.0000 0.5000
8 Hg 0.3328 0.3328 0.9406
9 Hg 0.6672 0.6672 0.0594


Entry 5:
Pm3Th2NpAs6 | GGA-PBE | optimized geometry

Computed properties:
Space group = C2/m (12)
Energy of formation = -1.35 eV/atom
DOS at the Fermi energy = 14.2 states/eV/f.u.
Volume = 320 Å³/cell

Cell: 9.4563 9.4563 8.4519 Å, 103.06 103.06 25.82°
Atoms (fractional coordinates):
1 Pm 0.0000 0.0000 0.0000
2 Pm 0.3327 0.3327 0.6668
3 Pm 0.6673 0.6673 0.3332
4 Th 0.3352 0.3352 0.1698
5 Th 0.6648 0.6648 0.8302
6 Np 0.0000 0.0000 0.5000
7 As 0.1646 0.1646 0.5815
8 As 0.1675 0.1675 0.0822
9 As 0.4993 0.4993 0.7432
10 As 0.5007 0.5007 0.2568
11 As 0.8325 0.8325 0.9178
12 As 0.8354 0.8354 0.4185


Entry 6:
Ti2Be2Zn | GGA-PBE | optimized geometry

Computed properties:
Space group = P4/mbm (127)
Energy of formation = -0.19 eV/atom
DOS at the Fermi energy = 2.6 states/eV/f.u.
Volume = 130 Å³/cell

Cell: 5.9672 5.9672 3.6420 Å, 90.00 90.00 90.00°
Atoms (fractional coordinates):
1 Ti 0.1683 0.3317 0.0000
2 Ti 0.3317 0.8317 0.0000
3 Ti 0.6683 0.1683 0.0000
4 Ti 0.8317 0.6683 0.0000
5 Be 0.1267 0.6267 0.5000
6 Be 0.3733 0.1267 0.5000
7 Be 0.6267 0.8733 0.5000
8 Be 0.8733 0.3733 0.5000
9 Zn 0.0000 0.0000 0.5000
10 Zn 0.5000 0.5000 0.5000